Entry 1:
Crystalline NaLa2YN at its relaxed geometry, computed with GGA-PBE.

Summary:
* raw formation energy: -0.406 eV/atom

abc: 5.346 5.346 4.777
angles: 90.00 90.00 90.00
Fractional positions:
La (0.000, 0.500, 0.000)
La (0.500, 0.000, 0.000)
N (0.000, 0.000, 0.000)
Na (0.500, 0.500, 0.500)
Y (0.000, 0.000, 0.500)


Entry 2:
Crystalline CaSm2Pa2Rh5 at its relaxed geometry, computed with GGA-PBE.

Summary:
* formation energy: -0.5773 eV/atom

abc: 3.596 11.061 11.061
angles: 90.00 90.00 90.00
Fractional positions:
Rh (0.500, 0.548, 0.714)
Rh (0.500, 0.048, 0.786)
Rh (0.500, 0.500, 0.000)
Rh (0.500, 0.786, 0.952)
Rh (0.500, 0.452, 0.286)
Rh (0.500, 0.214, 0.048)
Rh (0.500, 0.714, 0.452)
Rh (0.500, 0.952, 0.214)
Rh (0.500, 0.000, 0.500)
Rh (0.500, 0.286, 0.548)
Sm (0.000, 0.672, 0.172)
Sm (0.000, 0.328, 0.828)
Sm (0.000, 0.828, 0.672)
Sm (0.000, 0.172, 0.328)
Pa (0.000, 0.864, 0.364)
Pa (0.000, 0.636, 0.864)
Pa (0.000, 0.136, 0.636)
Pa (0.000, 0.364, 0.136)
Ca (0.000, 0.500, 0.500)
Ca (0.000, 0.000, 0.000)


Entry 3:
Crystalline GaSnBi2O6 at its relaxed geometry, computed with GGA-PBE.

Summary:
* raw formation energy: -1.307 eV/atom

abc: 5.803 5.803 5.977
angles: 60.97 60.96 59.99
Fractional positions:
O (0.973, 0.615, 0.264)
O (0.147, 0.973, 0.264)
O (0.615, 0.147, 0.265)
O (0.499, 0.663, 0.745)
O (0.663, 0.093, 0.745)
O (0.093, 0.499, 0.745)
Sn (0.309, 0.309, 0.074)
Bi (0.026, 0.025, 0.923)
Bi (0.525, 0.525, 0.424)
Ga (0.811, 0.811, 0.566)


Entry 4:
Crystalline Li4HfNp3Se8 at its relaxed geometry, computed with GGA-PBE.

Summary:
* raw formation energy: -1.210 eV/atom

abc: 8.010 7.996 8.010
angles: 120.06 120.00 90.00
Each line ends with the local moment (μB).
Fractional positions:
Li (0.500, 0.000, 0.500)  -0.01
Li (0.000, 0.000, 0.500)  -0.01
Li (0.000, 0.000, 0.000)  -0.01
Li (0.500, 0.000, 0.000)  0.00
Se (0.232, 0.248, 0.990)  -0.05
Se (0.242, 0.752, 0.010)  -0.05
Se (0.758, 0.248, 0.990)  -0.05
Se (0.246, 0.238, 0.492)  -0.08
Se (0.754, 0.762, 0.508)  -0.08
Se (0.768, 0.752, 0.010)  -0.05
Se (0.242, 0.752, 0.484)  -0.05
Se (0.758, 0.248, 0.516)  -0.05
Np (0.500, 0.500, 0.500)  3.99
Np (0.000, 0.500, 0.500)  3.99
Np (0.500, 0.500, 0.000)  3.99
Hf (0.000, 0.500, 0.000)  0.39